#1
TcTePb | PBE-GGA | optimized geometry

Computed properties:
Crystal system: tetragonal
Size of the total moment, μB per cell: 0.00

Lattice parameters (Å, degrees): 3.2872 3.2872 13.4580 90.00 90.00 90.00
Element x y z (fractional)
Tc1 0.0000 0.0000 0.0000
Tc2 0.5000 0.5000 0.5000
Te1 0.0000 0.0000 0.6037
Te2 0.5000 0.5000 0.1037
Pb1 0.0000 0.0000 0.3468
Pb2 0.5000 0.5000 0.8468

---

#2
TcTePb | PBE-GGA | optimized geometry

Computed properties:
Crystal system: hexagonal
Size of the total moment, μB per cell: 0.00

Lattice parameters (Å, degrees): 4.6852 4.6852 3.6956 90.00 90.00 120.00
Element x y z (fractional)
Tc1 0.0000 0.0000 0.0000
Te1 0.6667 0.3333 0.0000
Pb1 0.3333 0.6667 0.5000

---

Stability comparison, relative energies in meV per atom: #1 0; #2 383

---

#1
TcTePb | PBE-GGA | optimized geometry

Computed properties:
Crystal system: trigonal
Size of the total moment, μB per cell: 0.00

Lattice parameters (Å, degrees): 3.3892 3.3892 8.1238 90.00 90.00 120.00
Element x y z (fractional)
Tc1 0.0000 0.0000 0.0000
Te1 0.3333 0.6667 0.2149
Pb1 0.6667 0.3333 0.7164

---

#2
TcTePb | PBE-GGA | optimized geometry

Computed properties:
Crystal system: cubic
Size of the total moment, μB per cell: 0.00

Lattice parameters (Å, degrees): 6.6311 6.6311 6.6311 90.00 90.00 90.00
Element x y z (fractional)
Tc1 0.0000 0.0000 0.0000
Tc2 0.0000 0.5000 0.5000
Tc3 0.5000 0.0000 0.5000
Tc4 0.5000 0.5000 0.0000
Te1 0.2500 0.2500 0.2500
Te2 0.2500 0.7500 0.7500
Te3 0.7500 0.2500 0.7500
Te4 0.7500 0.7500 0.2500
Pb1 0.2500 0.2500 0.7500
Pb2 0.2500 0.7500 0.2500
Pb3 0.7500 0.2500 0.2500
Pb4 0.7500 0.7500 0.7500

---

Stability comparison, relative energies in meV per atom: #1 0; #2 223

---

#1
Th5Tc2Pb2 | PBE-GGA | optimized geometry

Computed properties:
Crystal system: monoclinic
Size of the total moment, μB per cell: 0.00

Lattice parameters (Å, degrees): 8.9011 8.9011 5.9896 105.91 105.91 35.13
Element x y z (fractional)
Th1 0.0000 0.0000 0.0000
Th2 0.1830 0.1830 0.5465
Th3 0.3475 0.3475 0.0678
Th4 0.6525 0.6525 0.9322
Th5 0.8170 0.8170 0.4535
Tc1 0.1649 0.1649 0.0477
Tc2 0.8351 0.8351 0.9523
Pb1 0.4346 0.4346 0.6361
Pb2 0.5654 0.5654 0.3639

---

#2
Th5Tc2Pb2 | PBE-GGA | optimized geometry

Computed properties:
Crystal system: orthorhombic
Size of the total moment, μB per cell: 0.00

Lattice parameters (Å, degrees): 9.1991 9.1991 7.6038 90.00 90.00 54.30
Element x y z (fractional)
Th1 0.0000 0.0000 0.0000
Th2 0.0567 0.7150 0.6507
Th3 0.2150 0.5567 0.1507
Th4 0.2850 0.9433 0.6507
Th5 0.4433 0.7850 0.1507
Th6 0.5000 0.5000 0.5000
Th7 0.5567 0.2150 0.8493
Th8 0.7150 0.0567 0.3493
Th9 0.7850 0.4433 0.8493
Th10 0.9433 0.2850 0.3493
Tc1 0.1292 0.8708 0.3517
Tc2 0.3708 0.6292 0.8517
Tc3 0.6292 0.3708 0.1483
Tc4 0.8708 0.1292 0.6483
Pb1 0.2152 0.2152 0.0000
Pb2 0.2848 0.2848 0.5000
Pb3 0.7152 0.7152 0.5000
Pb4 0.7848 0.7848 0.0000

---

Stability comparison, relative energies in meV per atom: #1 111; #2 0

---

#1
Th2TcPb | PBE-GGA | optimized geometry

Computed properties:
Crystal system: orthorhombic
Size of the total moment, μB per cell: 0.00

Lattice parameters (Å, degrees): 4.0785 15.1825 7.3583 90.00 90.00 90.00
Element x y z (fractional)
Th1 0.0000 0.1478 0.0014
Th2 0.0000 0.1478 0.4986
Th3 0.0000 0.8522 0.5014
Th4 0.0000 0.8522 0.9986
Th5 0.5000 0.3522 0.5014
Th6 0.5000 0.3522 0.9986
Th7 0.5000 0.6478 0.0014
Th8 0.5000 0.6478 0.4986
Tc1 0.0000 0.3088 0.7500
Tc2 0.0000 0.6912 0.2500
Tc3 0.5000 0.1912 0.2500
Tc4 0.5000 0.8088 0.7500
Pb1 0.0000 0.4984 0.2500
Pb2 0.0000 0.5016 0.7500
Pb3 0.5000 0.0016 0.7500
Pb4 0.5000 0.9984 0.2500

---

#2
Th2TcPb | PBE-GGA | optimized geometry

Computed properties:
Crystal system: tetragonal
Size of the total moment, μB per cell: 0.00

Lattice parameters (Å, degrees): 3.4906 3.4906 8.7720 90.00 90.00 90.00
Element x y z (fractional)
Th1 0.0000 0.0000 0.2036
Th2 0.0000 0.0000 0.7964
Tc1 0.5000 0.5000 0.0000
Pb1 0.5000 0.5000 0.5000

---

Stability comparison, relative energies in meV per atom: #1 45; #2 0

---

#1
Th2TcPb | PBE-GGA | optimized geometry

Computed properties:
Crystal system: monoclinic
Size of the total moment, μB per cell: 0.00

Lattice parameters (Å, degrees): 6.6086 6.2438 11.3439 90.00 104.12 90.00
Element x y z (fractional)
Th1 0.1557 0.1658 0.1170
Th2 0.1557 0.8342 0.6170
Th3 0.2704 0.3311 0.8236
Th4 0.2704 0.6689 0.3236
Th5 0.7296 0.3311 0.6764
Th6 0.7296 0.6689 0.1764
Th7 0.8443 0.1658 0.3830
Th8 0.8443 0.8342 0.8830
Tc1 0.1106 0.3314 0.5804
Tc2 0.1106 0.6686 0.0804
Tc3 0.8894 0.3314 0.9196
Tc4 0.8894 0.6686 0.4196
Pb1 0.3604 0.1798 0.4219
Pb2 0.3604 0.8202 0.9219
Pb3 0.6396 0.1798 0.0781
Pb4 0.6396 0.8202 0.5781

---

#2
Th2TcPb | PBE-GGA | optimized geometry

Computed properties:
Crystal system: trigonal
Size of the total moment, μB per cell: 0.00

Lattice parameters (Å, degrees): 4.0812 4.0812 24.7122 90.00 90.00 120.00
Element x y z (fractional)
Th1 0.0000 0.0000 0.2294
Th2 0.0000 0.0000 0.7706
Th3 0.3333 0.6667 0.4373
Th4 0.3333 0.6667 0.8961
Th5 0.6667 0.3333 0.1039
Th6 0.6667 0.3333 0.5627
Tc1 0.0000 0.0000 0.5000
Tc2 0.3333 0.6667 0.1667
Tc3 0.6667 0.3333 0.8333
Pb1 0.0000 0.0000 0.0000
Pb2 0.3333 0.6667 0.6667
Pb3 0.6667 0.3333 0.3333

---

Stability comparison, relative energies in meV per atom: #1 0; #2 45

---

#1
TiTcPb3 | PBE-GGA | optimized geometry

Computed properties:
Crystal system: cubic
Size of the total moment, μB per cell: 0.29

Lattice parameters (Å, degrees): 5.2814 5.2814 5.2814 90.00 90.00 90.00
Element x y z (fractional)
Ti1 0.0000 0.0000 0.0000
Tc1 0.5000 0.5000 0.5000
Pb1 0.0000 0.5000 0.5000
Pb2 0.5000 0.0000 0.5000
Pb3 0.5000 0.5000 0.0000

---

#2
TiTcPb3 | PBE-GGA | optimized geometry

Computed properties:
Crystal system: cubic
Size of the total moment, μB per cell: 4.88

Lattice parameters (Å, degrees): 5.3724 5.3724 5.3724 90.00 90.00 90.00
Element x y z (fractional)
Ti1 0.0000 0.0000 0.0000
Tc1 0.5000 0.5000 0.5000
Pb1 0.0000 0.0000 0.5000
Pb2 0.0000 0.5000 0.0000
Pb3 0.5000 0.0000 0.0000

---

Stability comparison, relative energies in meV per atom: #1 0; #2 131